Entry 1:
Here is an optimized crystal structure of CeMn2Cl8 from the Alexandria database. Energies are from PBE.

Cell: 8.7608 8.7608 6.5649 Å, 90.13 90.13 49.18°
Last column: nearest neighbours and their distance in Å.
Element x y z (fractional)
Ce  0.0000  0.0000  0.0000  6 Cl 2.67-2.69
Mn  0.1610  0.1610  0.6056  4 Cl 2.20-2.40
Mn  0.8390  0.8390  0.3944  4 Cl 2.20-2.40
Cl  0.1320  0.1320  0.2504  1 Mn 2.38
Cl  0.1588  0.6772  0.2369  1 Mn 2.40
Cl  0.2978  0.2978  0.6553  1 Mn 2.20
Cl  0.3228  0.8412  0.7631  1 Mn 2.40
Cl  0.6772  0.1588  0.2369  1 Mn 2.40
Cl  0.7022  0.7022  0.3447  1 Mn 2.20
Cl  0.8412  0.3228  0.7631  1 Mn 2.40
Cl  0.8680  0.8680  0.7496  1 Mn 2.38

Calculated values
ρ in g cm⁻³: 2.3
Calculated total energy in eV per atom: -4.960
Raw formation energy in meV/atom: -1411

Entry 2:
Here is an optimized crystal structure of Ce7MnCl12 from the Alexandria database. Energies are from PBE.

Cell: 9.1022 9.1022 9.1022 Å, 107.47 107.47 107.47°
Last column: nearest neighbours and their distance in Å.
Element x y z (fractional)
Ce  0.0000  0.0000  0.0000  6 Cl 2.84
Ce  0.1791  0.3816  0.4709  1 Mn 2.69, 5 Cl 2.86-3.01
Ce  0.3816  0.4709  0.1791  1 Mn 2.69, 5 Cl 2.86-3.01
Ce  0.4709  0.1791  0.3816  1 Mn 2.69, 5 Cl 2.86-3.01
Ce  0.5291  0.8209  0.6184  1 Mn 2.69, 5 Cl 2.86-3.01
Ce  0.6184  0.5291  0.8209  1 Mn 2.69, 5 Cl 2.86-3.01
Ce  0.8209  0.6184  0.5291  1 Mn 2.69, 5 Cl 2.86-3.01
Mn  0.5000  0.5000  0.5000  6 Ce 2.69
Cl  0.0294  0.3388  0.1210  3 Ce 2.84-2.91
Cl  0.1210  0.0294  0.3388  3 Ce 2.84-2.91
Cl  0.1848  0.7137  0.5785  3 Ce 2.86-3.01
Cl  0.2863  0.4215  0.8152  3 Ce 2.86-3.01
Cl  0.3388  0.1210  0.0294  3 Ce 2.84-2.91
Cl  0.4215  0.8152  0.2863  3 Ce 2.86-3.01
Cl  0.5785  0.1848  0.7137  3 Ce 2.86-3.01
Cl  0.6612  0.8790  0.9706  3 Ce 2.84-2.91
Cl  0.7137  0.5785  0.1848  3 Ce 2.86-3.01
Cl  0.8152  0.2863  0.4215  3 Ce 2.86-3.01
Cl  0.8790  0.9706  0.6612  3 Ce 2.84-2.91
Cl  0.9706  0.6612  0.8790  3 Ce 2.84-2.91

Calculated values
ρ in g cm⁻³: 3.9
Calculated total energy in eV per atom: -5.407
Raw formation energy in meV/atom: -1763

Entry 3:
Here is an optimized crystal structure of CeMo2Se4Cl2 from the Alexandria database. Energies are from PBE.

Cell: 3.4315 3.4315 22.3933 Å, 90.00 90.00 120.00°
Last column: nearest neighbours and their distance in Å.
Element x y z (fractional)
Ce  0.0000  0.0000  0.0000  6 Cl 2.81
Mo  0.0000  0.0000  0.6508  6 Se 2.57
Mo  0.6667  0.3333  0.3340  6 Se 2.57
Se  0.0000  0.0000  0.2609  3 Mo 2.57
Se  0.0000  0.0000  0.4071  3 Mo 2.57
Se  0.6667  0.3333  0.5777  3 Mo 2.57
Se  0.6667  0.3333  0.7239  3 Mo 2.57
Cl  0.6667  0.3333  0.0891  3 Ce 2.81
Cl  0.6667  0.3333  0.9109  3 Ce 2.81

Calculated values
ρ in g cm⁻³: 5.2
Calculated total energy in eV per atom: -6.036
Raw formation energy in meV/atom: -1011

Entry 4:
Here is an optimized crystal structure of Ce2N2Cl from the Alexandria database. Energies are from PBE.

Cell: 3.9417 3.9417 7.1972 Å, 90.00 90.00 120.00°
Last column: nearest neighbours and their distance in Å.
Element x y z (fractional)
Ce  0.3333  0.6667  0.3078  4 N 2.30-2.32
Ce  0.6667  0.3333  0.6922  4 N 2.30-2.32
N  0.3333  0.6667  0.6276  4 Ce 2.30-2.32
N  0.6667  0.3333  0.3724  4 Ce 2.30-2.32
Cl  0.0000  0.0000  0.0000  6 Ce 3.18, 6 N 3.52

Calculated values
ρ in g cm⁻³: 5.9
Relative energy among the computed polymorphs in eV/f.u.: 0.00
Calculated total energy in eV per atom: -7.854
Raw formation energy in meV/atom: -1781